1.
A PBEsol-optimized structure of Fe6PtRh, computed with SCAN.

Properties
DFT formation energy: -0.126 eV per atom
space-group type: Cmmm (65)
raw total energy: -26.72 eV per atom
crystal system: orthorhombic

a b c (Å): 6.291 6.291 10.266
angles (deg): 90.00 90.00 109.39
Each line ends with the local moment (μB).
Element x y z (fractional)
Fe 0.251 0.749 0.752  2.96
Fe 0.874 0.623 0.877  2.96
Fe 0.126 0.377 0.877  2.96
Fe 0.749 0.251 0.752  2.96
Fe 0.377 0.126 0.877  2.96
Fe 0.623 0.874 0.877  2.96
Fe 0.500 0.500 0.500  2.96
Fe 0.128 0.377 0.627  2.96
Fe 0.377 0.128 0.627  2.96
Fe 0.251 0.749 0.248  2.96
Fe 0.872 0.623 0.373  2.96
Fe 0.128 0.377 0.373  2.96
Fe 0.749 0.251 0.248  2.96
Fe 0.377 0.128 0.373  2.96
Fe 0.623 0.872 0.373  2.96
Fe 0.500 0.500 0.000  2.95
Fe 0.126 0.377 0.123  2.96
Fe 0.377 0.126 0.123  2.96
Fe 0.000 0.000 0.500  2.96
Fe 0.623 0.872 0.627  2.96
Fe 0.872 0.623 0.627  2.96
Fe 0.000 0.000 0.000  2.95
Fe 0.623 0.874 0.123  2.96
Fe 0.874 0.623 0.123  2.96
Pt 0.249 0.751 0.500  0.32
Pt 0.751 0.249 0.500  0.32
Pt 0.000 0.000 0.752  0.33
Pt 0.000 0.000 0.248  0.33
Rh 0.250 0.750 0.000  0.69
Rh 0.750 0.250 0.000  0.69
Rh 0.500 0.500 0.753  0.69
Rh 0.500 0.500 0.247  0.69

***

2.
A PBEsol-optimized structure of Fe3PtRh, computed with SCAN.

Properties
DFT formation energy: 1.111 eV per atom
space-group type: Pm-3m (221)
ΔE to the lowest computed polymorph: 0 meV/atom
raw total energy: -30.56 eV per atom
crystal system: cubic

a b c (Å): 4.523 4.523 4.523
angles (deg): 90.00 90.00 90.00
Each line ends with the local moment (μB).
Element x y z (fractional)
Rh 0.500 0.500 0.500  1.11
Fe 0.000 0.500 0.000  3.41
Fe 0.000 0.000 0.500  3.41
Fe 0.500 0.000 0.000  3.41
Pt 0.000 0.000 0.000  0.47